Entry 1:
The following is a PBE calculation of a geometry-optimized Tb2CeTaN4 structure, from Alexandria.

Formation energy (no corrections) in eV/atom: -1.446
Crystal system: monoclinic

Lattice parameters (Å, degrees): 5.872 3.374 5.916 90.00 108.80 90.00
Space group P2/m (No. 10)
One atom of each set of equivalent atoms:
Tb: 0.000 0.000 0.000 (multiplicity 1)
Tb: 0.000 0.500 0.500 (multiplicity 1)
Ce: 0.500 0.000 0.500 (multiplicity 1)
Ta: 0.500 0.500 0.000 (multiplicity 1)
N: 0.267 0.500 0.229 (multiplicity 2)
N: 0.278 0.000 0.777 (multiplicity 2)

---

Entry 2:
The following is a PBE calculation of a geometry-optimized MgGaH2 structure, from Alexandria.

Crystal system: monoclinic
Distance to the lowest polymorph of the same formula in eV per atom: 0.007

Lattice parameters (Å, degrees): 4.023 3.738 7.340 90.00 105.61 90.00
Space group P2_1/m (No. 11)
One atom of each set of equivalent atoms:
Mg: 0.090 0.250 0.176 (multiplicity 2)
Ga: 0.257 0.750 0.514 (multiplicity 2)
H: 0.058 0.750 0.104 (multiplicity 2)
H: 0.381 0.750 0.766 (multiplicity 2)

---

Entry 3:
The following is a PBE calculation of a geometry-optimized Y5Ru3 structure, from Alexandria.

DFT formation energy in meV per atom: -326
Crystal system: tetragonal
Distance to the lowest polymorph of the same formula in eV per atom: 0.000

Lattice parameters (Å, degrees): 10.849 10.849 6.398 90.00 90.00 90.00
Space group P4/ncc (No. 130, origin choice 2)
One atom of each set of equivalent atoms:
Y: 0.042 0.164 0.124 (multiplicity 16)
Y: 0.250 0.750 0.000 (multiplicity 4)
Ru: 0.097 0.597 0.750 (multiplicity 8)
Ru: 0.250 0.250 0.373 (multiplicity 4)

---

Entry 4:
The following is a PBE calculation of a geometry-optimized LaTbTlGe structure, from Alexandria.

DFT formation energy in meV per atom: -471
Crystal system: cubic

Lattice parameters (Å, degrees): 7.583 7.583 7.583 90.00 90.00 90.00
Space group F-43m (No. 216)
One atom of each set of equivalent atoms:
La: 0.000 0.000 0.000 (multiplicity 4)
Tb: 0.000 0.000 0.500 (multiplicity 4)
Tl: 0.250 0.250 0.250 (multiplicity 4)
Ge: 0.250 0.250 0.750 (multiplicity 4)

---

Entry 5:
The following is a PBE calculation of a geometry-optimized SrTl2Re structure, from Alexandria.

DFT formation energy in meV per atom: 688
Crystal system: tetragonal
Distance to the lowest polymorph of the same formula in eV per atom: 0.117

Lattice parameters (Å, degrees): 4.775 4.775 8.372 90.00 90.00 90.00
Space group I4/mmm (No. 139)
One atom of each set of equivalent atoms:
Sr: 0.000 0.000 0.000 (multiplicity 2)
Tl: 0.000 0.500 0.250 (multiplicity 4)
Re: 0.000 0.000 0.500 (multiplicity 2)

---

Entry 6:
The following is a PBE calculation of a geometry-optimized SrTl2Pd2 structure, from Alexandria.

DFT formation energy in meV per atom: -355
Crystal system: tetragonal

Lattice parameters (Å, degrees): 5.001 5.001 10.389 90.00 90.00 90.00
Space group I4/mmm (No. 139)
One atom of each set of equivalent atoms:
Sr: 0.000 0.000 0.000 (multiplicity 2)
Tl: 0.000 0.000 0.357 (multiplicity 4)
Pd: 0.000 0.500 0.250 (multiplicity 4)

---

Entry 7:
The following is a PBE calculation of a geometry-optimized LaHg2Se structure, from Alexandria.

Formation energy (no corrections) in eV/atom: -0.676
Crystal system: tetragonal

Lattice parameters (Å, degrees): 8.776 8.776 5.957 90.00 90.00 90.00
Space group I-42d (No. 122)
One atom of each set of equivalent atoms:
La: 0.000 0.000 0.000 (multiplicity 4)
Hg: 0.232 0.250 0.625 (multiplicity 8)
Se: 0.000 0.000 0.500 (multiplicity 4)

---

Entry 8:
The following is a PBE calculation of a geometry-optimized TlGa2SnRh structure, from Alexandria.

DFT formation energy in meV per atom: -148
Crystal system: tetragonal

Lattice parameters (Å, degrees): 4.824 4.824 5.271 90.00 90.00 90.00
Space group P4/mmm (No. 123)
One atom of each set of equivalent atoms:
Tl: 0.000 0.000 0.000 (multiplicity 1)
Ga: 0.000 0.500 0.500 (multiplicity 2)
Sn: 0.500 0.500 0.000 (multiplicity 1)
Rh: 0.500 0.500 0.500 (multiplicity 1)

---

So what do the calculations give for E_tot? Going down the list: -8.990, -2.867, -7.845, -4.606, -4.028, -3.715, -2.930, -4.103 eV per atom.